1.
Material: CaB4Os
Method: DFT, GGA-PBE
State: relaxed

Cell: 5.9924 11.5928 3.5460 Å, 90.00 90.00 90.00°
Last column: nearest neighbours and their distance in Å.
Space group Pbam (No. 55)
One atom of each set of equivalent atoms:
Ca: 0.1286 0.1501 0.0000 x4  14 B 2.64-2.77
B: 0.0254 0.6915 0.5000 x4  3 B 1.75-1.86
B: 0.1131 0.5471 0.5000 x4  3 B 1.74-1.75
B: 0.1367 0.9694 0.5000 x4  3 B 1.75-1.85
B: 0.2149 0.8153 0.5000 x4  3 B 1.83-1.86
Os: 0.1353 0.4120 0.0000 x4  10 B 2.28-2.37

Calculated values
VASP energy   -42.06 eV per formula unit
Density of states at the Fermi level   8.62 states/eV per cell


2.
Material: Ca3BOs
Method: DFT, GGA-PBE
State: relaxed

Cell: 4.9944 4.9944 4.9944 Å, 90.00 90.00 90.00°
Last column: nearest neighbours and their distance in Å.
Space group Pm-3m (No. 221)
One atom of each set of equivalent atoms:
Ca: 0.0000 0.0000 0.5000 x3  2 B 2.50
B: 0.0000 0.0000 0.0000 x1  6 Ca 2.50
Os: 0.5000 0.5000 0.5000 x1  12 Ca 3.53

Calculated values
VASP energy   -19.15 eV per formula unit
Density of states at the Fermi level   6.97 states/eV per cell


3.
Material: Ca2BOs
Method: DFT, GGA-PBE
State: relaxed

Cell: 10.1821 10.1821 3.9886 Å, 90.00 90.00 90.00°
Last column: nearest neighbours and their distance in Å.
Space group I-42d (No. 122)
One atom of each set of equivalent atoms:
Ca: 0.0610 0.7500 0.1250 x8  2 B 2.67
B: 0.0000 0.0000 0.0000 x4  2 Os 1.99
Os: 0.0000 0.0000 0.5000 x4  2 B 1.99

Calculated values
VASP energy   -21.08 eV per formula unit
Density of states at the Fermi level   8.53 states/eV per cell


4.
Material: CaBOs
Method: DFT, GGA-PBE
State: relaxed

Cell: 4.0429 4.0429 8.0119 Å, 90.00 90.00 90.00°
Last column: nearest neighbours and their distance in Å.
Space group P4/nmm (No. 129, origin choice 2)
One atom of each set of equivalent atoms:
Ca: 0.2500 0.2500 0.2086 x2  1 B 2.96, 4 Os 3.09
B: 0.2500 0.2500 0.5783 x2  4 Os 2.12
Os: 0.2500 0.7500 0.5000 x2  4 B 2.12

Calculated values
Relative energy among the computed polymorphs   0.0 meV/atom
Density of states at the Fermi level   4.14 states/eV per cell


5.
Material: Ca2B5Os3
Method: DFT, GGA-PBE
State: relaxed

Cell: 10.5222 4.0676 8.0259 Å, 90.00 124.36 90.00°
Last column: nearest neighbours and their distance in Å.
Space group C2 (No. 5)
One atom of each set of equivalent atoms:
Ca: 0.1585 0.0000 0.2604 x4  5 B 2.71-3.00
B: 0.0000 0.5013 0.0000 x2  2 Os 1.96
B: 0.0294 0.2726 0.6203 x4  2 B 1.66-1.73
B: 0.1468 0.9943 0.8104 x4  1 B 1.73
Os: 0.0000 0.7777 0.5000 x2  6 B 2.18-2.24
Os: 0.1340 0.5121 0.9030 x4  4 B 1.96-2.15

Calculated values
VASP energy   -74.77 eV per formula unit
Density of states at the Fermi level   7.50 states/eV per cell


6.
Material: CaBOs
Method: DFT, GGA-PBE
State: relaxed

Cell: 3.6184 3.6184 4.4702 Å, 90.00 90.00 120.00°
Last column: nearest neighbours and their distance in Å.
Space group P-6m2 (No. 187)
One atom of each set of equivalent atoms:
Ca: 0.0000 0.0000 0.0000 x1  6 B 3.06, 6 Os 3.06
B: 0.3333 0.6667 0.5000 x1  3 Os 2.09
Os: 0.6667 0.3333 0.5000 x1  3 B 2.09

Calculated values
Relative energy among the computed polymorphs   83.2 meV/atom
Density of states at the Fermi level   0.33 states/eV per cell


7.
Material: Ca2B10Os
Method: DFT, GGA-PBE
State: relaxed

Cell: 5.7372 11.5018 4.2052 Å, 90.00 90.00 90.00°
Last column: nearest neighbours and their distance in Å.
Space group Pbam (No. 55)
One atom of each set of equivalent atoms:
Ca: 0.2077 0.1365 0.0000 x4  20 B 2.94-3.08, 2 Os 3.11
B: 0.0527 0.3083 0.5000 x4  4 B 1.69-1.79
B: 0.1193 0.9567 0.5000 x4  4 B 1.69-1.80
B: 0.1399 0.8025 0.5000 x4  5 B 1.69-1.78
B: 0.2174 0.3815 0.1983 x8  4 B 1.67-1.80
Os: 0.0000 0.5000 0.5000 x2  8 B 2.23-2.24

Calculated values
VASP energy   -85.80 eV per formula unit
Density of states at the Fermi level   8.89 states/eV per cell


8.
Material: CaB3Os
Method: DFT, GGA-PBE
State: relaxed

Cell: 4.0450 4.0450 4.0450 Å, 90.00 90.00 90.00°
Last column: nearest neighbours and their distance in Å.
Space group Pm-3m (No. 221)
One atom of each set of equivalent atoms:
Ca: 0.0000 0.0000 0.0000 x1  6 B 2.02
B: 0.0000 0.0000 0.5000 x3  2 Ca 2.02
Os: 0.5000 0.5000 0.5000 x1  12 B 2.86

Calculated values
Relative energy among the computed polymorphs   3329.4 meV/atom
Density of states at the Fermi level   9.12 states/eV per cell


9.
Material: CaBOs3
Method: DFT, GGA-PBE
State: relaxed

Cell: 4.6856 4.6856 4.6856 Å, 90.00 90.00 90.00°
Last column: nearest neighbours and their distance in Å.
Space group Pm-3m (No. 221)
One atom of each set of equivalent atoms:
Ca: 0.0000 0.0000 0.0000 x1  6 Os 2.34
B: 0.5000 0.5000 0.5000 x1  12 Os 3.31
Os: 0.0000 0.0000 0.5000 x3  2 Ca 2.34

Calculated values
Relative energy among the computed polymorphs   3716.5 meV/atom
Density of states at the Fermi level   4.61 states/eV per cell


10.
Material: Ca2B4Os3
Method: DFT, GGA-PBE
State: relaxed

Cell: 5.8233 9.6021 10.3734 Å, 90.00 90.00 90.00°
Last column: nearest neighbours and their distance in Å.
Space group Fmmm (No. 69)
One atom of each set of equivalent atoms:
Ca: 0.0000 0.0000 0.1546 x8  4 B 2.84-3.14
B: 0.0000 0.1743 0.3753 x16  3 Os 2.08-2.12
Os: 0.0000 0.0000 0.5000 x4  4 B 2.12
Os: 0.2500 0.2500 0.0000 x8  4 B 2.08

Calculated values
VASP energy   -61.66 eV per formula unit
Density of states at the Fermi level   16.65 states/eV per cell


11.
Material: CaBOs3
Method: DFT, GGA-PBE
State: relaxed

Cell: 4.2201 4.2201 4.2201 Å, 90.00 90.00 90.00°
Last column: nearest neighbours and their distance in Å.
Space group Pm-3m (No. 221)
One atom of each set of equivalent atoms:
Ca: 0.0000 0.0000 0.0000 x1  12 Os 2.98
B: 0.5000 0.5000 0.5000 x1  6 Os 2.11
Os: 0.0000 0.5000 0.5000 x3  2 B 2.11

Calculated values
Relative energy among the computed polymorphs   0.0 meV/atom
Density of states at the Fermi level   7.91 states/eV per cell


12.
Material: CaB3Os
Method: DFT, GGA-PBE
State: relaxed

Cell: 4.1162 4.1162 4.1162 Å, 90.00 90.00 90.00°
Last column: nearest neighbours and their distance in Å.
Space group Pm-3m (No. 221)
One atom of each set of equivalent atoms:
Ca: 0.0000 0.0000 0.0000 x1  12 B 2.91
B: 0.0000 0.5000 0.5000 x3  2 Os 2.06
Os: 0.5000 0.5000 0.5000 x1  6 B 2.06

Calculated values
Relative energy among the computed polymorphs   259.2 meV/atom
Density of states at the Fermi level   1.57 states/eV per cell


13.
Material: CaB3Os2
Method: DFT, GGA-PBE
State: relaxed

Cell: 5.3473 9.7169 5.9845 Å, 90.00 90.00 90.00°
Last column: nearest neighbours and their distance in Å.
Space group Imma (No. 74)
One atom of each set of equivalent atoms:
Ca: 0.0000 0.2500 0.1423 x4  6 B 2.70-2.72, 2 Ca 2.97
B: 0.1666 0.0000 0.0000 x8  1 B 1.78
B: 0.2500 0.2500 0.7500 x4  4 Os 2.15
Os: 0.0000 0.0803 0.6948 x8  6 B 2.15-2.27

Calculated values
VASP energy   -44.75 eV per formula unit
Density of states at the Fermi level   11.30 states/eV per cell


14.
Material: Ca2BOsSe
Method: DFT, GGA-PBE
State: relaxed

Cell: 5.1624 5.1624 3.9829 Å, 90.00 90.00 90.00°
Last column: nearest neighbours and their distance in Å.
Space group P4/mmm (No. 123)
One atom of each set of equivalent atoms:
Ca: 0.0000 0.5000 0.0000 x2  2 B 2.58
B: 0.0000 0.0000 0.0000 x1  2 Os 1.99
Os: 0.0000 0.0000 0.5000 x1  2 B 1.99
Se: 0.5000 0.5000 0.5000 x1  8 Ca 3.26, 4 Os 3.65

Calculated values
E_form (uncorrected)   -0.274 eV/atom
Density of states at the Fermi level   3.01 states/eV per cell


15.
Material: CaB2OsW
Method: DFT, GGA-PBE
State: relaxed

Cell: 4.0768 4.0768 4.9723 Å, 90.00 90.00 90.00°
Last column: nearest neighbours and their distance in Å.
Space group P4/mmm (No. 123)
One atom of each set of equivalent atoms:
Ca: 0.0000 0.0000 0.0000 x1  4 B 2.04
B: 0.0000 0.5000 0.0000 x2  2 Ca 2.04
Os: 0.5000 0.5000 0.5000 x1  4 W 2.88, 8 B 3.21
W: 0.0000 0.0000 0.5000 x1  2 Ca 2.49

Calculated values
VASP energy   -22.53 eV per formula unit
Density of states at the Fermi level   5.01 states/eV per cell


16.
Material: Ca2BOsW
Method: DFT, GGA-PBE
State: relaxed

Cell: 5.6667 5.6667 4.0185 Å, 90.00 90.00 90.00°
Last column: nearest neighbours and their distance in Å.
Space group P4/mmm (No. 123)
One atom of each set of equivalent atoms:
Ca: 0.0000 0.5000 0.0000 x2  2 W 2.83
B: 0.0000 0.0000 0.5000 x1  2 W 2.01
Os: 0.5000 0.5000 0.5000 x1  8 Ca 3.47
W: 0.0000 0.0000 0.0000 x1  2 B 2.01

Calculated values
VASP energy   -25.58 eV per formula unit
Density of states at the Fermi level   4.99 states/eV per cell


17.
Material: CaY2BOs
Method: DFT, GGA-PBE
State: relaxed

Cell: 5.3906 5.3906 4.0099 Å, 90.00 90.00 90.00°
Last column: nearest neighbours and their distance in Å.
Space group P4/mmm (No. 123)
One atom of each set of equivalent atoms:
Ca: 0.0000 0.0000 0.0000 x1  2 B 2.00
Y: 0.0000 0.5000 0.0000 x2  2 Ca 2.70
B: 0.0000 0.0000 0.5000 x1  2 Ca 2.00
Os: 0.5000 0.5000 0.5000 x1  8 Y 3.36

Calculated values
VASP energy   -23.07 eV per formula unit
Density of states at the Fermi level   5.69 states/eV per cell


18.
Material: CaZr2BOs
Method: DFT, GGA-PBE
State: relaxed

Cell: 4.5421 4.5421 4.8494 Å, 90.00 90.00 90.00°
Last column: nearest neighbours and their distance in Å.
Space group P4/mmm (No. 123)
One atom of each set of equivalent atoms:
Ca: 0.0000 0.0000 0.0000 x1  2 B 2.42
Zr: 0.0000 0.5000 0.5000 x2  2 B 2.27
B: 0.0000 0.0000 0.5000 x1  4 Zr 2.27, 2 Ca 2.42
Os: 0.5000 0.5000 0.0000 x1  4 Ca 3.21, 8 Zr 3.32

Calculated values
VASP energy   -34.82 eV per formula unit
Density of states at the Fermi level   4.48 states/eV per cell


19.
Material: CaBP
Method: DFT, GGA-PBE
State: relaxed

Cell: 9.3978 3.1851 7.1577 Å, 90.00 90.00 90.00°
Last column: nearest neighbours and their distance in Å.
Space group Pnma (No. 62)
One atom of each set of equivalent atoms:
Ca: 0.1386 0.2500 0.1820 x4  3 B 2.83-2.92, 5 P 2.85-2.90
B: 0.0183 0.2500 0.5446 x4  2 B 1.75
P: 0.1186 0.2500 0.7848 x4  1 B 1.96

Calculated values
VASP energy   -15.37 eV per formula unit
Density of states at the Fermi level   3.55 states/eV per cell


20.
Material: Ca3BP
Method: DFT, GGA-PBE
State: relaxed

Cell: 5.0050 5.0050 5.0050 Å, 90.00 90.00 90.00°
Last column: nearest neighbours and their distance in Å.
Space group Pm-3m (No. 221)
One atom of each set of equivalent atoms:
Ca: 0.0000 0.0000 0.5000 x3  2 B 2.50
B: 0.0000 0.0000 0.0000 x1  6 Ca 2.50
P: 0.5000 0.5000 0.5000 x1  12 Ca 3.54

Calculated values
Relative energy among the computed polymorphs   0.0 meV/atom
Density of states at the Fermi level   4.71 states/eV per cell


21.
Material: CaB2PPd
Method: DFT, GGA-PBE
State: relaxed

Cell: 4.6522 4.6522 4.9257 Å, 90.00 90.00 90.00°
Last column: nearest neighbours and their distance in Å.
Space group P4/mmm (No. 123)
One atom of each set of equivalent atoms:
Ca: 0.0000 0.0000 0.0000 x1  4 B 2.33, 2 Pd 2.46
B: 0.0000 0.5000 0.0000 x2  2 Ca 2.33
P: 0.5000 0.5000 0.5000 x1  4 Pd 3.29, 8 B 3.39
Pd: 0.0000 0.0000 0.5000 x1  2 Ca 2.46

Calculated values
VASP energy   -14.60 eV per formula unit
Density of states at the Fermi level   3.64 states/eV per cell


22.
Material: Ca2BPPt6
Method: DFT, GGA-PBE
State: relaxed

Cell: 5.7652 8.5106 7.1399 Å, 90.00 90.00 90.00°
Last column: nearest neighbours and their distance in Å.
Space group Pmmn (No. 59, origin choice 2)
One atom of each set of equivalent atoms:
Ca: 0.2500 0.0342 0.2207 x4  9 Pt 3.00-3.17
B: 0.2500 0.2500 0.7210 x2  6 Pt 2.11-2.20
P: 0.2500 0.7500 0.8011 x2  4 Pt 2.33-2.36
Pt: 0.0092 0.7500 0.0676 x4  1 B 2.12, 1 P 2.36
Pt: 0.0117 0.7500 0.4848 x4  1 B 2.11
Pt: 0.2500 0.5033 0.6594 x4  1 B 2.20, 1 P 2.33

Calculated values
VASP energy   -60.05 eV per formula unit
Density of states at the Fermi level   8.53 states/eV per cell


23.
Material: CaBP2S
Method: DFT, GGA-PBE
State: relaxed

Cell: 3.9299 3.9299 6.1828 Å, 90.00 90.00 90.00°
Last column: nearest neighbours and their distance in Å.
Space group P4/mmm (No. 123)
One atom of each set of equivalent atoms:
Ca: 0.0000 0.0000 0.0000 x1  4 S 2.78
B: 0.5000 0.5000 0.5000 x1  4 P 1.96
P: 0.0000 0.5000 0.5000 x2  2 B 1.96
S: 0.5000 0.5000 0.0000 x1  4 Ca 2.78, 2 B 3.09

Calculated values
E_form (uncorrected)   0.058 eV/atom
Relative energy among the computed polymorphs   0.0 meV/atom
Density of states at the Fermi level   3.01 states/eV per cell


24.
Material: CaBPS2
Method: DFT, GGA-PBE
State: relaxed

Cell: 5.2351 5.2351 5.3983 Å, 90.00 90.00 90.00°
Last column: nearest neighbours and their distance in Å.
Space group P4/mmm (No. 123)
One atom of each set of equivalent atoms:
Ca: 0.0000 0.0000 0.0000 x1  4 S 2.62, 2 P 2.70
B: 0.5000 0.5000 0.5000 x1  4 P 3.70, 8 S 3.76
P: 0.0000 0.0000 0.5000 x1  2 Ca 2.70
S: 0.0000 0.5000 0.0000 x2  2 Ca 2.62

Calculated values
E_form (uncorrected)   1.422 eV/atom
Relative energy among the computed polymorphs   1550.3 meV/atom
Density of states at the Fermi level   4.97 states/eV per cell